Run i
Material: TlCu2Hg
Method: DFT, PBE
State: optimized geometry

extended XYZ file:
```
4
Lattice="4.095 0.000 0.000 0.000 3.786 -0.043 0.000 1.793 4.944" Properties=species:S:1:pos:R:3 pbc="T T T"
Cu 0.000 2.490 4.851
Cu 2.048 0.701 1.351
Tl 2.048 4.390 4.043
Hg 0.000 2.580 2.051
```

Output
- mass density (g/cm3) = 11.48

Run ii
Material: TlCu2Hg
Method: DFT, PBE
State: optimized geometry

extended XYZ file:
```
4
Lattice="5.375 0.000 0.000 2.356 4.831 0.000 -3.866 -2.415 2.848" Properties=species:S:1:pos:R:3 pbc="T T T"
Cu 0.000 0.000 0.000
Cu 1.178 2.415 1.424
Tl 2.688 0.000 1.424
Hg 3.866 2.415 0.000
```

Output
- mass density (g/cm3) = 11.95

Run iii
Material: TlCu2Hg
Method: DFT, PBE
State: optimized geometry

extended XYZ file:
```
4
Lattice="4.757 0.000 0.000 2.379 4.120 0.000 2.379 1.373 3.884" Properties=species:S:1:pos:R:3 pbc="T T T"
Cu 2.379 1.373 0.971
Cu 0.000 0.000 0.000
Hg 4.757 2.747 1.942
Tl 7.136 4.120 2.913
```

Output
- mass density (g/cm3) = 11.61

Tell me which of them is the most stable. Sure, it is run i.

Run i
Material: TlCuHg
Method: DFT, PBE
State: optimized geometry

extended XYZ file:
```
3
Lattice="6.342 -0.060 0.062 5.480 3.190 0.130 0.861 0.160 3.246" Properties=species:S:1:pos:R:3 pbc="T T T"
Hg 4.853 1.241 2.134
Cu 11.672 3.089 0.234
Tl 7.980 2.089 1.263
```

Output
- mass density (g/cm3) = 11.70

Run ii
Material: TlCuHg
Method: DFT, PBE
State: optimized geometry

extended XYZ file:
```
3
Lattice="-4.200 1.928 -0.328 -3.158 -1.802 -2.872 -3.700 -2.201 1.712" Properties=species:S:1:pos:R:3 pbc="T T T"
Cu -8.294 -1.556 -1.116
Hg 0.000 0.000 0.000
Tl -5.529 -1.037 -0.744
```

Output
- mass density (g/cm3) = 11.06

Run iii
Material: TlCuHg
Method: DFT, PBE
State: optimized geometry

extended XYZ file:
```
3
Lattice="-3.748 -1.142 1.156 1.863 -1.928 -3.082 1.993 -3.258 3.243" Properties=species:S:1:pos:R:3 pbc="T T T"
Hg 0.542 -2.563 -0.776
Tl -0.461 -3.719 2.047
Cu 0.028 -0.046 0.046
```

Output
- mass density (g/cm3) = 10.74

Run iv
Material: TlCuHg
Method: DFT, PBE
State: optimized geometry

extended XYZ file:
```
6
Lattice="-1.896 2.815 -2.451 -4.013 0.402 3.566 5.133 2.913 2.951" Properties=species:S:1:pos:R:3 pbc="T T T"
Cu -1.652 2.259 3.873
Cu 0.877 3.872 0.193
Tl -0.617 4.810 2.426
Tl -0.159 1.321 1.640
Hg 2.732 3.811 2.263
Hg -3.508 2.320 1.802
```

Output
- mass density (g/cm3) = 11.44

Tell me which of them is the most stable. Sure, it is run iv.

Run i
Material: VCu3Hg
Method: DFT, PBE
State: optimized geometry

extended XYZ file:
```
5
Lattice="4.639 0.000 0.000 0.000 4.639 0.000 0.000 0.000 4.639" Properties=species:S:1:pos:R:3 pbc="T T T"
Cu 0.000 2.319 0.000
Cu 2.319 0.000 0.000
Cu 0.000 0.000 2.319
V 0.000 0.000 0.000
Hg 2.319 2.319 2.319
```

Output
- mass density (g/cm3) = 7.36

Run ii
Material: VCu3Hg
Method: DFT, PBE
State: optimized geometry

extended XYZ file:
```
5
Lattice="-1.878 -2.165 -3.817 4.347 -0.350 -1.941 0.600 -4.240 2.109" Properties=species:S:1:pos:R:3 pbc="T T T"
Cu 0.300 -2.120 1.055
Cu 2.174 -0.175 -0.970
Cu -0.939 -1.082 -1.909
V 1.534 -3.377 -1.824
Hg 0.000 0.000 0.000
```

Output
- mass density (g/cm3) = 6.75

Tell me which of them is the most stable. Sure, it is run i.

Run i
Material: Y2CuHg2
Method: DFT, PBE
State: optimized geometry

extended XYZ file:
```
10
Lattice="-5.343 5.391 1.183 -5.519 -5.221 -1.137 0.004 -0.959 4.387" Properties=species:S:1:pos:R:3 pbc="T T T"
Cu -5.431 0.085 0.023
Cu 0.000 0.000 0.000
Hg -8.164 -1.488 1.980
Hg -4.310 -3.066 1.632
Hg -2.695 0.699 2.453
Hg -6.549 2.277 2.802
Y -2.731 -0.896 -0.194
Y -6.436 -2.553 -0.553
Y -4.427 2.723 0.599
Y -8.131 1.066 0.240
```

Output
- mass density (g/cm3) = 8.05

Run ii
Material: Y2CuHg2
Method: DFT, PBE
State: optimized geometry

extended XYZ file:
```
10
Lattice="7.357 0.000 0.000 0.000 7.357 0.000 0.000 0.000 4.508" Properties=species:S:1:pos:R:3 pbc="T T T"
Hg 2.641 6.319 0.000
Hg 4.717 1.038 0.000
Hg 1.038 2.641 0.000
Hg 6.319 4.717 0.000
Y 2.448 1.231 2.254
Y 4.909 6.127 2.254
Y 1.231 4.909 2.254
Y 6.127 2.448 2.254
Cu 0.000 0.000 0.000
Cu 3.679 3.679 0.000
```

Output
- mass density (g/cm3) = 8.75

Tell me which of them is the most stable. Sure, it is run ii.

Run i
Material: Y4CuHg
Method: DFT, PBE
State: optimized geometry

extended XYZ file:
```
12
Lattice="-6.758 -0.565 1.289 1.491 -2.256 6.827 0.490 6.726 2.115" Properties=species:S:1:pos:R:3 pbc="T T T"
Y -3.258 2.493 6.785
Y -5.152 1.515 2.927
Y 0.375 2.391 7.305
Y -1.519 1.413 3.446
Y -1.283 -1.015 6.656
Y 0.183 4.753 4.293
Y -3.494 4.921 3.576
Y -4.960 -0.848 5.939
Hg -2.634 -1.410 4.058
Hg 0.000 0.000 0.000
Cu 0.990 2.235 4.471
Cu -3.134 3.081 1.702
```

Output
- mass density (g/cm3) = 5.77

Run ii
Material: Y4CuHg
Method: DFT, PBE
State: optimized geometry

extended XYZ file:
```
6
Lattice="3.056 -5.382 -0.685 -2.605 -5.325 1.908 -1.956 -4.181 -4.179" Properties=species:S:1:pos:R:3 pbc="T T T"
Y -0.564 -5.579 -1.108
Y -1.869 -8.247 -0.152
Y -1.544 -7.674 -3.202
Y 0.967 -8.276 -1.451
Cu -1.129 -11.166 -2.218
Hg 0.000 0.000 0.000
```

Output
- mass density (g/cm3) = 6.03

Tell me which of them is the most stable. Sure, it is run i.

Run i
Material: YCu3Hg
Method: DFT, PBE
State: optimized geometry

extended XYZ file:
```
5
Lattice="-1.559 -0.860 -4.459 -4.010 -1.952 1.779 -2.132 4.302 -0.084" Properties=species:S:1:pos:R:3 pbc="T T T"
Hg 0.000 0.000 0.000
Y -3.850 0.745 -1.382
Cu -1.066 2.151 -0.042
Cu -2.005 -0.976 0.889
Cu -0.780 -0.430 -2.230
```

Output
- mass density (g/cm3) = 7.20

Run ii
Material: YCu3Hg
Method: DFT, PBE
State: optimized geometry

extended XYZ file:
```
5
Lattice="5.273 0.000 0.000 0.000 5.273 0.000 0.000 0.000 5.273" Properties=species:S:1:pos:R:3 pbc="T T T"
Hg 2.637 2.637 2.637
Cu 0.000 2.637 0.000
Cu 2.637 0.000 0.000
Cu 0.000 0.000 2.637
Y 0.000 0.000 0.000
```

Output
- mass density (g/cm3) = 5.44

Tell me which of them is the most stable. Sure, it is run i.

Run i
Material: Y2Cu3Hg
Method: DFT, PBE
State: optimized geometry

extended XYZ file:
```
6
Lattice="3.733 0.000 -0.994 -0.281 3.714 -1.055 0.325 0.489 8.732" Properties=species:S:1:pos:R:3 pbc="T T T"
Y 3.324 1.666 4.977
Y 0.547 0.625 2.055
Cu 1.973 2.139 -0.097
Cu 2.569 2.821 2.143
Cu 1.051 3.219 3.948
Hg 1.729 3.994 6.496
```

Output
- mass density (g/cm3) = 7.60

Run ii
Material: Y2Cu3Hg
Method: DFT, PBE
State: optimized geometry

extended XYZ file:
```
12
Lattice="5.691 -0.544 0.000 -0.765 5.666 0.000 -2.463 -2.561 7.619" Properties=species:S:1:pos:R:3 pbc="T T T"
Hg 2.463 2.561 2.531
Hg 0.000 0.000 5.087
Y 1.197 1.244 0.000
Y -0.383 2.833 3.809
Y 3.729 3.877 0.000
Y 2.846 -0.272 3.809
Cu -1.674 1.610 6.385
Cu 4.137 0.950 1.234
Cu 0.000 0.000 2.438
Cu 0.789 4.171 1.234
Cu 1.674 -1.610 6.385
Cu 2.463 2.561 5.181
```

Output
- mass density (g/cm3) = 7.79

Tell me which of them is the most stable. Sure, it is run ii.

Run i
Material: ZnCu2Hg2
Method: DFT, PBE
State: optimized geometry

extended XYZ file:
```
10
Lattice="-0.640 -7.303 1.663 6.328 0.365 4.041 -1.688 0.735 2.577" Properties=species:S:1:pos:R:3 pbc="T T T"
Cu 0.980 -5.900 4.270
Cu 4.307 -3.863 5.868
Cu 3.020 -0.304 4.011
Cu -0.307 -2.341 2.413
Hg 0.663 -4.851 1.818
Hg 3.729 -5.795 4.095
Hg 5.025 -2.087 3.886
Hg 1.959 -1.143 1.609
Zn 0.000 0.000 0.000
Zn 2.844 -3.469 2.852
```

Output
- mass density (g/cm3) = 11.02

Run ii
Material: ZnCu2Hg2
Method: DFT, PBE
State: optimized geometry

extended XYZ file:
```
10
Lattice="6.646 0.000 0.000 0.000 6.646 0.000 0.000 0.000 3.922" Properties=species:S:1:pos:R:3 pbc="T T T"
Cu 5.738 4.231 0.000
Cu 2.415 5.738 0.000
Cu 0.908 2.415 0.000
Cu 4.231 0.908 0.000
Hg 2.211 1.112 1.961
Hg 5.534 2.211 1.961
Hg 1.112 4.436 1.961
Hg 4.436 5.534 1.961
Zn 3.323 3.323 0.000
Zn 0.000 0.000 0.000
```

Output
- mass density (g/cm3) = 11.38

Tell me which of them is the most stable. Sure, it is run ii.

Run i
Material: ZnCuHg
Method: DFT, PBE
State: optimized geometry

extended XYZ file:
```
3
Lattice="4.378 0.000 0.000 -2.189 3.791 0.000 0.000 0.000 3.027" Properties=species:S:1:pos:R:3 pbc="T T T"
Hg 2.189 1.264 1.017
Cu 0.000 0.000 2.642
Zn 0.000 2.527 2.395
```

Output
- mass density (g/cm3) = 10.89

Run ii
Material: ZnCuHg
Method: DFT, PBE
State: optimized geometry

extended XYZ file:
```
3
Lattice="-1.514 1.342 3.808 0.663 -2.370 3.540 2.728 1.381 3.040" Properties=species:S:1:pos:R:3 pbc="T T T"
Zn 0.938 0.176 5.194
Hg 0.000 0.000 0.000
Cu 1.408 0.265 7.791
```

Output
- mass density (g/cm3) = 9.65

Tell me which of them is the most stable. Sure, it is run ii.

Run i
Material: Zn2CuHg2
Method: DFT, PBE
State: optimized geometry

extended XYZ file:
```
10
Lattice="6.627 0.000 0.000 0.000 6.627 0.000 0.000 0.000 4.356" Properties=species:S:1:pos:R:3 pbc="T T T"
Zn 0.936 2.377 0.000
Zn 2.377 5.690 0.000
Zn 5.690 4.250 0.000
Zn 4.250 0.936 0.000
Hg 2.152 1.161 2.178
Hg 1.161 4.474 2.178
Hg 4.474 5.465 2.178
Hg 5.465 2.152 2.178
Cu 0.000 0.000 0.000
Cu 3.313 3.313 0.000
```

Output
- mass density (g/cm3) = 10.34

Run ii
Material: Zn2CuHg2
Method: DFT, PBE
State: optimized geometry

extended XYZ file:
```
5
Lattice="3.529 0.000 0.000 0.000 3.529 0.000 1.764 1.764 7.728" Properties=species:S:1:pos:R:3 pbc="T T T"
Zn 1.764 3.529 3.864
Zn 3.529 1.764 3.864
Hg 1.764 1.764 1.484
Hg 3.529 3.529 6.244
Cu 0.000 0.000 0.000
```

Output
- mass density (g/cm3) = 10.28

Tell me which of them is the most stable. Sure, it is run i.

Run i
Material: ZrCuHg
Method: DFT, PBE
State: optimized geometry

extended XYZ file:
```
6
Lattice="-0.714 -1.424 -4.020 2.979 -1.027 -0.165 -0.847 -7.771 2.903" Properties=species:S:1:pos:R:3 pbc="T T T"
Zr -0.919 -7.398 -0.705
Zr 2.337 -2.824 -0.577
Cu 0.769 -2.157 -2.861
Cu 0.649 -8.066 1.579
Hg 0.002 -4.538 -1.882
Hg 1.416 -5.684 0.599
```

Output
- mass density (g/cm3) = 10.56

Run ii
Material: ZrCuHg
Method: DFT, PBE
State: optimized geometry

extended XYZ file:
```
3
Lattice="4.413 0.000 0.000 2.207 3.822 0.000 2.207 1.274 3.604" Properties=species:S:1:pos:R:3 pbc="T T T"
Cu 6.620 3.822 2.703
Zr 4.413 2.548 1.802
Hg 0.000 0.000 0.000
```

Output
- mass density (g/cm3) = 9.71

Run iii
Material: ZrCuHg
Method: DFT, PBE
State: optimized geometry

extended XYZ file:
```
3
Lattice="-4.060 -2.527 -1.638 -2.546 -2.758 3.386 1.625 4.640 -1.174" Properties=species:S:1:pos:R:3 pbc="T T T"
Hg -2.206 -1.765 0.584
Zr -4.391 -3.513 1.162
Cu -0.008 -0.006 0.002
```

Output
- mass density (g/cm3) = 10.48

Tell me which of them is the most stable. Sure, it is run i.